Record 1
SrZn3Ag2: optimized geometry, PBE.

extended XYZ file:
```
12
Lattice="5.159 -4.368 0.000 5.159 4.368 0.000 0.000 0.000 5.637" Properties=species:S:1:pos:R:3 pbc="T T T"
Sr 5.159 2.815 4.227
Sr 5.159 -2.815 1.409
Zn 3.293 2.362 1.409
Zn 7.025 2.362 1.409
Zn 5.159 0.594 1.409
Zn 5.159 -0.594 4.227
Zn 3.293 -2.362 4.227
Zn 7.025 -2.362 4.227
Ag 2.882 0.000 0.000
Ag 2.882 0.000 2.818
Ag 7.436 0.000 0.000
Ag 7.436 0.000 2.818
```

Output
**SG**: Cmcm
**E_form**: -0.180 eV/atom
**Calculated total energy**: -2.05 eV/atom
**DOS(E_F)**: 5.2 states/eV/cell
**Volume**: 254.05 Å³ per cell


Record 2
BaInRu2: optimized geometry, PBE.

extended XYZ file:
```
8
Lattice="3.372 0.000 0.000 0.000 5.668 0.000 0.000 0.000 9.019" Properties=species:S:1:pos:R:3 pbc="T T T"
Ba 0.000 0.000 0.000
Ba 1.686 2.834 4.509
In 0.000 0.000 4.509
In 1.686 2.834 0.000
Ru 0.000 2.834 2.119
Ru 0.000 2.834 6.900
Ru 1.686 0.000 2.390
Ru 1.686 0.000 6.629
```

Output
**SG**: Immm
**E_form**: 0.789 eV/atom
**Calculated total energy**: -5.01 eV/atom
**DOS(E_F)**: 7.4 states/eV/cell
**Volume**: 172.37 Å³ per cell


Record 3
HfMg3Ag: optimized geometry, PBE.

extended XYZ file:
```
5
Lattice="4.935 0.000 0.000 0.000 4.935 0.000 0.000 0.000 4.935" Properties=species:S:1:pos:R:3 pbc="T T T"
Hf 0.000 0.000 0.000
Mg 0.000 2.467 2.467
Mg 2.467 0.000 2.467
Mg 2.467 2.467 0.000
Ag 2.467 2.467 2.467
```

Output
**SG**: Pm-3m
**E_form**: 0.531 eV/atom
**Calculated total energy**: -2.99 eV/atom
**Polymorph energy (0 for the lowest one)**: 0 meV/atom
**DOS(E_F)**: 3.4 states/eV/cell
**Volume**: 120.17 Å³ per cell


Record 4
LiPtI: optimized geometry, PBE.

extended XYZ file:
```
6
Lattice="3.850 0.000 0.000 1.924 4.452 0.000 1.841 0.840 9.005" Properties=species:S:1:pos:R:3 pbc="T T T"
Li 0.000 0.000 0.000
Li 3.765 1.670 7.033
Pt 3.765 4.183 6.575
Pt 5.690 3.505 8.255
I 1.925 1.873 1.095
I 5.689 4.537 4.754
```

Output
**Formation energy without anion corrections**: -0.55 eV per atom
**SG**: P1
**Calculated total energy**: -3.71 eV/atom
**Polymorph energy (0 for the lowest one)**: 35 meV/atom
**Volume**: 154.35 Å³ per cell


Record 5
GaAg3Pd4: optimized geometry, PBE.

extended XYZ file:
```
16
Lattice="4.213 0.000 0.000 0.000 4.213 0.000 0.000 0.000 14.510" Properties=species:S:1:pos:R:3 pbc="T T T"
Ga 0.000 0.000 0.000
Ga 2.107 2.107 7.255
Ag 0.000 0.000 3.631
Ag 0.000 0.000 7.255
Ag 0.000 0.000 10.878
Ag 2.107 2.107 0.000
Ag 2.107 2.107 3.624
Ag 2.107 2.107 10.886
Pd 0.000 2.107 1.707
Pd 0.000 2.107 5.548
Pd 0.000 2.107 8.962
Pd 0.000 2.107 12.803
Pd 2.107 0.000 1.707
Pd 2.107 0.000 5.548
Pd 2.107 0.000 8.962
Pd 2.107 0.000 12.803
```

Output
**SG**: I4/mmm
**E_form**: -0.233 eV/atom
**Calculated total energy**: -4.28 eV/atom
**DOS(E_F)**: 3.6 states/eV/cell
**Volume**: 257.59 Å³ per cell


Record 6
AlRh: optimized geometry, PBE.

extended XYZ file:
```
12
Lattice="2.942 0.000 0.000 0.000 5.691 0.000 0.000 0.000 10.219" Properties=species:S:1:pos:R:3 pbc="T T T"
Al 0.000 0.000 0.000
Al 0.000 0.000 3.024
Al 0.000 0.000 7.195
Al 0.000 2.846 0.000
Al 1.471 1.421 5.109
Al 1.471 4.270 5.109
Rh 0.000 2.846 3.608
Rh 0.000 2.846 6.611
Rh 1.471 1.458 1.550
Rh 1.471 1.458 8.669
Rh 1.471 4.234 1.550
Rh 1.471 4.234 8.669
```

Output
**SG**: Pmmm
**E_form**: -0.755 eV/atom
**Calculated total energy**: -6.30 eV/atom
**DOS(E_F)**: 6.5 states/eV/cell
**Volume**: 171.11 Å³ per cell


Record 7
KNa2Cd2: optimized geometry, PBE.

extended XYZ file:
```
10
Lattice="9.497 0.000 0.000 0.000 9.497 0.000 0.000 0.000 3.615" Properties=species:S:1:pos:R:3 pbc="T T T"
K 0.000 0.000 0.000
K 4.748 4.748 0.000
Na 1.663 3.085 1.807
Na 3.085 7.834 1.807
Na 6.411 1.663 1.807
Na 7.834 6.411 1.807
Cd 1.079 5.828 0.000
Cd 3.669 1.079 0.000
Cd 5.828 8.417 0.000
Cd 8.417 3.669 0.000
```

Output
**SG**: P4/mbm
**E_form**: -0.041 eV/atom
**Calculated total energy**: -1.15 eV/atom
**Polymorph energy (0 for the lowest one)**: 8 meV/atom
**DOS(E_F)**: 7.2 states/eV/cell
**Volume**: 326.00 Å³ per cell


Record 8
SiAsPt: optimized geometry, PBE.

extended XYZ file:
```
6
Lattice="2.900 0.000 0.000 0.000 4.387 0.000 0.000 0.000 7.751" Properties=species:S:1:pos:R:3 pbc="T T T"
Si 0.000 0.000 0.000
Si 1.450 2.193 3.875
As 0.000 0.000 2.537
As 1.450 2.193 6.412
Pt 0.000 0.000 5.221
Pt 1.450 2.193 1.345
```

Output
**Formation energy without anion corrections**: 0.15 eV per atom
**SG**: Imm2
**Calculated total energy**: -5.22 eV/atom
**Polymorph energy (0 for the lowest one)**: 507 meV/atom
**DOS(E_F)**: 2.6 states/eV/cell
**Volume**: 98.60 Å³ per cell


Record 9
Y4Co: optimized geometry, PBE.

extended XYZ file:
```
5
Lattice="5.299 0.000 0.000 0.000 5.299 0.000 0.000 0.000 5.299" Properties=species:S:1:pos:R:3 pbc="T T T"
Y 0.000 0.000 0.000
Y 0.000 2.649 2.649
Y 2.649 0.000 2.649
Y 2.649 2.649 0.000
Co 2.649 2.649 2.649
```

Output
**SG**: Pm-3m
**E_form**: -0.005 eV/atom
**Calculated total energy**: -6.60 eV/atom
**Polymorph energy (0 for the lowest one)**: 52 meV/atom
**DOS(E_F)**: 8.1 states/eV/cell
**Volume**: 148.76 Å³ per cell


Record 10
ScAlRu: optimized geometry, PBE.

extended XYZ file:
```
12
Lattice="4.526 0.000 0.000 0.000 3.258 0.000 0.000 0.000 13.355" Properties=species:S:1:pos:R:3 pbc="T T T"
Sc 0.000 0.000 0.000
Sc 0.000 1.629 6.677
Sc 2.263 0.000 2.448
Sc 2.263 1.629 9.125
Al 0.000 0.000 9.065
Al 0.000 1.629 2.387
Al 2.263 0.000 11.588
Al 2.263 1.629 4.910
Ru 0.000 0.000 4.373
Ru 0.000 1.629 11.050
Ru 2.263 0.000 6.955
Ru 2.263 1.629 0.278
```

Output
**SG**: Amm2
**E_form**: -0.577 eV/atom
**Calculated total energy**: -7.03 eV/atom
**DOS(E_F)**: 3.8 states/eV/cell
**Volume**: 196.91 Å³ per cell


Record 11
ScBiAsO5: optimized geometry, PBE.

extended XYZ file:
```
16
Lattice="3.653 -4.648 0.000 3.653 4.648 0.000 -3.520 0.000 6.873" Properties=species:S:1:pos:R:3 pbc="T T T"
Sc 1.827 2.324 0.000
Sc 0.067 -2.324 3.437
Bi 1.013 4.196 5.155
Bi 2.773 -4.196 1.718
As 1.013 0.563 5.155
As 2.773 -0.563 1.718
O 2.773 2.951 1.718
O 1.357 0.237 0.638
O -0.403 -0.237 4.075
O 0.215 1.668 6.246
O 1.812 1.668 4.064
O 1.975 -1.668 2.810
O 3.572 -1.668 0.627
O 4.189 0.237 2.798
O 2.429 -0.237 6.235
O 1.013 -2.951 5.155
```

Output
**Formation energy without anion corrections**: -1.83 eV per atom
**SG**: C2/c
**Calculated total energy**: -6.79 eV/atom
**DOS(E_F)**: 5.6 states/eV/cell
**Volume**: 233.43 Å³ per cell


Record 12
Zr3CoNi: optimized geometry, PBE.

extended XYZ file:
```
5
Lattice="4.764 0.000 0.000 0.000 4.764 0.000 0.000 0.000 4.764" Properties=species:S:1:pos:R:3 pbc="T T T"
Zr 0.000 0.000 2.382
Zr 0.000 2.382 0.000
Zr 2.382 0.000 0.000
Co 0.000 0.000 0.000
Ni 2.382 2.382 2.382
```

Output
**SG**: Pm-3m
**E_form**: 0.412 eV/atom
**Calculated total energy**: -7.29 eV/atom
**Polymorph energy (0 for the lowest one)**: 665 meV/atom
**DOS(E_F)**: 9.1 states/eV/cell
**Volume**: 108.15 Å³ per cell


> The highest calculated total energy belongs to which entry?

KNa2Cd2